Arrangement P

The following is a DFT calculation (PBE-GGA) of a relaxed SiPPdS2 crystal.

M_tot (μB/f.u.): 0.0

Unit cell a=4.4345 b=4.4345 c=4.5686 alpha=90.00 beta=90.00 gamma=90.00
Space group P4/mmm (No. 123)
Inequivalent atoms, fractional coordinates:
Si1 0.0000 0.0000 0.0000
P1 0.0000 0.0000 0.5000
Pd1 0.5000 0.5000 0.0000
S1 0.0000 0.5000 0.5000



Arrangement Q

The following is a DFT calculation (PBE-GGA) of a relaxed SiPPdS2 crystal.

M_tot (μB/f.u.): 0.0

Unit cell a=4.4254 b=4.4254 c=4.5633 alpha=90.00 beta=90.00 gamma=90.00
Space group P4/mmm (No. 123)
Inequivalent atoms, fractional coordinates:
Si1 0.0000 0.0000 0.0000
P1 0.0000 0.0000 0.5000
Pd1 0.5000 0.5000 0.5000
S1 0.0000 0.5000 0.0000



We find arrangement Q to be the most stable, with the next structure 0.056 eV/atom higher.



Arrangement P

The following is a DFT calculation (PBE-GGA) of a relaxed SrPPdS2 crystal.

M_tot (μB/f.u.): 2.7

Unit cell a=5.4897 b=5.4897 c=5.6425 alpha=90.00 beta=90.00 gamma=90.00
Space group P4/mmm (No. 123)
Inequivalent atoms, fractional coordinates:
Sr1 0.0000 0.0000 0.0000
P1 0.0000 0.0000 0.5000
Pd1 0.5000 0.5000 0.5000
S1 0.0000 0.5000 0.0000



Arrangement Q

The following is a DFT calculation (PBE-GGA) of a relaxed SrPPdS2 crystal.

M_tot (μB/f.u.): 0.0

Unit cell a=5.0725 b=5.0725 c=4.4161 alpha=90.00 beta=90.00 gamma=90.00
Space group P4/mmm (No. 123)
Inequivalent atoms, fractional coordinates:
Sr1 0.0000 0.0000 0.0000
P1 0.5000 0.5000 0.0000
Pd1 0.5000 0.5000 0.5000
S1 0.0000 0.5000 0.5000



We find arrangement Q to be the most stable, with the next structure 1.485 eV/atom higher.



Arrangement P

The following is a DFT calculation (PBE-GGA) of a relaxed TcP2PdS crystal.

M_tot (μB/f.u.): 0.0

Unit cell a=4.5568 b=4.5568 c=4.6975 alpha=90.00 beta=90.00 gamma=90.00
Space group P4/mmm (No. 123)
Inequivalent atoms, fractional coordinates:
Tc1 0.0000 0.0000 0.0000
P1 0.0000 0.5000 0.0000
Pd1 0.5000 0.5000 0.5000
S1 0.0000 0.0000 0.5000



Arrangement Q

The following is a DFT calculation (PBE-GGA) of a relaxed TcP2PdS crystal.

M_tot (μB/f.u.): 2.8

Unit cell a=4.5963 b=4.5963 c=4.7558 alpha=90.00 beta=90.00 gamma=90.00
Space group P4/mmm (No. 123)
Inequivalent atoms, fractional coordinates:
Tc1 0.0000 0.0000 0.0000
P1 0.0000 0.5000 0.5000
Pd1 0.5000 0.5000 0.5000
S1 0.5000 0.5000 0.0000



We find arrangement P to be the most stable, with the next structure 0.499 eV/atom higher.



Arrangement P

The following is a DFT calculation (PBE-GGA) of a relaxed TcPPdS2 crystal.

M_tot (μB/f.u.): 3.3

Unit cell a=4.7204 b=4.7204 c=4.5760 alpha=90.00 beta=90.00 gamma=90.00
Space group P4/mmm (No. 123)
Inequivalent atoms, fractional coordinates:
Tc1 0.0000 0.0000 0.0000
P1 0.5000 0.5000 0.0000
Pd1 0.5000 0.5000 0.5000
S1 0.0000 0.5000 0.5000



Arrangement Q

The following is a DFT calculation (PBE-GGA) of a relaxed TcPPdS2 crystal.

M_tot (μB/f.u.): 0.0

Unit cell a=4.5972 b=4.5972 c=4.6344 alpha=90.00 beta=90.00 gamma=90.00
Space group P4/mmm (No. 123)
Inequivalent atoms, fractional coordinates:
Tc1 0.0000 0.0000 0.0000
P1 0.0000 0.0000 0.5000
Pd1 0.5000 0.5000 0.5000
S1 0.0000 0.5000 0.0000



We find arrangement Q to be the most stable, with the next structure 0.465 eV/atom higher.



Arrangement P

The following is a DFT calculation (PBE-GGA) of a relaxed TlP2PdS crystal.

M_tot (μB/f.u.): 1.4

Unit cell a=4.6553 b=4.6553 c=5.2267 alpha=90.00 beta=90.00 gamma=90.00
Space group P4/mmm (No. 123)
Inequivalent atoms, fractional coordinates:
Tl1 0.0000 0.0000 0.0000
P1 0.0000 0.5000 0.5000
Pd1 0.5000 0.5000 0.5000
S1 0.5000 0.5000 0.0000



Arrangement Q

The following is a DFT calculation (PBE-GGA) of a relaxed TlP2PdS crystal.

M_tot (μB/f.u.): 0.6

Unit cell a=5.0911 b=5.0911 c=5.0509 alpha=90.00 beta=90.00 gamma=90.00
Space group P4/mmm (No. 123)
Inequivalent atoms, fractional coordinates:
Tl1 0.0000 0.0000 0.0000
P1 0.0000 0.5000 0.0000
Pd1 0.5000 0.5000 0.5000
S1 0.0000 0.0000 0.5000



We find arrangement P to be the most stable, with the next structure 0.991 eV/atom higher.



Arrangement P

The following is a DFT calculation (PBE-GGA) of a relaxed VP2PdS crystal.

M_tot (μB/f.u.): 0.0

Unit cell a=4.5378 b=4.5378 c=4.4222 alpha=90.00 beta=90.00 gamma=90.00
Space group P4/mmm (No. 123)
Inequivalent atoms, fractional coordinates:
V1 0.0000 0.0000 0.0000
P1 0.0000 0.5000 0.0000
Pd1 0.5000 0.5000 0.5000
S1 0.0000 0.0000 0.5000



Arrangement Q

The following is a DFT calculation (PBE-GGA) of a relaxed VP2PdS crystal.

M_tot (μB/f.u.): 0.2

Unit cell a=4.5741 b=4.5741 c=4.7053 alpha=90.00 beta=90.00 gamma=90.00
Space group P4/mmm (No. 123)
Inequivalent atoms, fractional coordinates:
V1 0.0000 0.0000 0.0000
P1 0.0000 0.5000 0.5000
Pd1 0.5000 0.5000 0.5000
S1 0.5000 0.5000 0.0000



We find arrangement P to be the most stable, with the next structure 0.667 eV/atom higher.



Arrangement P

The following is a DFT calculation (PBE-GGA) of a relaxed P2PdWS crystal.

M_tot (μB/f.u.): 0.0

Unit cell a=4.7306 b=4.7306 c=4.5577 alpha=90.00 beta=90.00 gamma=90.00
Space group P4/mmm (No. 123)
Inequivalent atoms, fractional coordinates:
P1 0.0000 0.5000 0.0000
Pd1 0.0000 0.0000 0.5000
W1 0.5000 0.5000 0.0000
S1 0.5000 0.5000 0.5000



Arrangement Q

The following is a DFT calculation (PBE-GGA) of a relaxed P2PdWS crystal.

M_tot (μB/f.u.): 0.0

Unit cell a=4.5313 b=4.5313 c=4.5503 alpha=90.00 beta=90.00 gamma=90.00
Space group P4/mmm (No. 123)
Inequivalent atoms, fractional coordinates:
P1 0.0000 0.5000 0.0000
Pd1 0.0000 0.0000 0.0000
W1 0.5000 0.5000 0.5000
S1 0.0000 0.0000 0.5000



We find arrangement P to be the most stable, with the next structure 0.802 eV/atom higher.



Arrangement P

The following is a DFT calculation (PBE-GGA) of a relaxed YP2PdS crystal.

M_tot (μB/f.u.): 0.0

Unit cell a=4.6182 b=4.6182 c=4.8719 alpha=90.00 beta=90.00 gamma=90.00
Space group P4/mmm (No. 123)
Inequivalent atoms, fractional coordinates:
Y1 0.0000 0.0000 0.0000
P1 0.0000 0.5000 0.5000
Pd1 0.5000 0.5000 0.5000
S1 0.5000 0.5000 0.0000



Arrangement Q

The following is a DFT calculation (PBE-GGA) of a relaxed YP2PdS crystal.

M_tot (μB/f.u.): 0.0

Unit cell a=5.2655 b=5.2655 c=5.0910 alpha=90.00 beta=90.00 gamma=90.00
Space group P4/mmm (No. 123)
Inequivalent atoms, fractional coordinates:
Y1 0.0000 0.0000 0.0000
P1 0.0000 0.5000 0.0000
Pd1 0.5000 0.5000 0.5000
S1 0.0000 0.0000 0.5000



We find arrangement P to be the most stable, with the next structure 0.843 eV/atom higher.